# NaDy2MoO6

NaDy2MoO6 after structural relaxation (PBE+U, Alexandria via LeMat-Bulk).

## Properties
calculated density	6.4	g cm⁻³
space-group type	P1 (1)
calculated total energy	-7.374	eV/atom

The structure in POSCAR format:
```
NaDy2MoO6
1.0
5.6776 0.0318 -0.0050
2.8662 4.9098 -0.0522
2.8436 1.5994 5.0092
Dy O Mo Na
2 6 1 1
Direct
0.5173 0.5291 0.4236
0.0224 0.0248 0.9420
0.1465 0.3964 0.7633
0.6839 0.1476 0.7761
0.3976 0.6895 0.7709
0.9691 0.5668 0.2290
0.2317 0.9570 0.2341
0.5805 0.2246 0.2367
0.3188 0.3209 0.0381
0.7937 0.8049 0.6013
```